1.
A plane-wave DFT calculation with PBE was carried out for a relaxed Tl2Ni crystal.

abc: 6.4720 6.4720 6.4709
angles: 90.06 90.06 29.68
Atoms (fractional coordinates):
1 Tl 0.1330 0.1330 0.0007
2 Tl 0.1327 0.1327 0.5006
3 Tl 0.8673 0.8673 0.4994
4 Tl 0.8670 0.8670 0.9993
5 Ni 0.5000 0.5000 0.2489
6 Ni 0.5000 0.5000 0.7511

Properties
- formation energy (eV/atom) = 0.265
- total magnetic moment (μB per formula unit) = 0.00
- calculated total energy (eV per atom) = -3.239

2.
A plane-wave DFT calculation with PBE was carried out for a relaxed LiYGa crystal.

abc: 5.9018 5.9018 5.9018
angles: 145.89 145.89 49.00
Atoms (fractional coordinates):
1 Li 0.0000 0.0000 0.0000
2 Y 0.2928 0.2928 0.0000
3 Ga 0.6146 0.6146 0.0000

Properties
- energy relative to the lowest polymorph listed for this composition (eV per atom) = 0.188
- formation energy (eV/atom) = -0.236
- total magnetic moment (μB per formula unit) = 0.32
- calculated total energy (eV per atom) = -4.038

3.
A plane-wave DFT calculation with PBE was carried out for a relaxed Ac3Tl2Au crystal.

abc: 8.9017 8.9017 7.4617
angles: 102.19 102.19 45.52
Atoms (fractional coordinates):
1 Ac 0.1014 0.8986 0.7500
2 Ac 0.2429 0.4446 0.4127
3 Ac 0.4446 0.2429 0.9127
4 Ac 0.5554 0.7571 0.0873
5 Ac 0.7571 0.5554 0.5873
6 Ac 0.8986 0.1014 0.2500
7 Tl 0.0593 0.2842 0.0548
8 Tl 0.2842 0.0593 0.5548
9 Tl 0.7158 0.9407 0.4452
10 Tl 0.9407 0.7158 0.9452
11 Au 0.3824 0.6176 0.2500
12 Au 0.6176 0.3824 0.7500

Properties
- energy relative to the lowest polymorph listed for this composition (eV per atom) = 0.087
- formation energy (eV/atom) = -0.407
- total magnetic moment (μB per formula unit) = 0.00
- calculated total energy (eV per atom) = -3.796

4.
A plane-wave DFT calculation with PBE was carried out for a relaxed TmScCl crystal.

abc: 7.5049 7.5049 5.4209
angles: 90.00 90.00 152.85
Atoms (fractional coordinates):
1 Tm 0.1365 0.8635 0.7500
2 Tm 0.8635 0.1365 0.2500
3 Sc 0.4531 0.5469 0.7500
4 Sc 0.5469 0.4531 0.2500
5 Cl 0.1991 0.8009 0.2500
6 Cl 0.8009 0.1991 0.7500

Properties
- E_form (uncorrected) (eV per atom) = -0.884
- energy relative to the lowest polymorph listed for this composition (eV per atom) = 0.000
- total magnetic moment (μB per formula unit) = 0.00
- calculated total energy (eV per atom) = -5.100

5.
A plane-wave DFT calculation with PBE was carried out for a relaxed Hf6C2SN3 crystal.

abc: 7.3805 7.3805 6.7097
angles: 102.62 102.62 25.88
Atoms (fractional coordinates):
1 Hf 0.0017 0.0017 0.2843
2 Hf 0.3207 0.3207 0.8971
3 Hf 0.3307 0.3307 0.4217
4 Hf 0.6693 0.6693 0.5783
5 Hf 0.6793 0.6793 0.1029
6 Hf 0.9983 0.9983 0.7157
7 C 0.1665 0.1665 0.3328
8 C 0.8335 0.8335 0.6672
9 S 0.5000 0.5000 0.0000
10 N 0.1654 0.1654 0.8351
11 N 0.5000 0.5000 0.5000
12 N 0.8346 0.8346 0.1649

Properties
- E_form (uncorrected) (eV per atom) = -1.367
- total magnetic moment (μB per formula unit) = 0.00
- calculated total energy (eV per atom) = -10.306

6.
A plane-wave DFT calculation with PBE was carried out for a relaxed CeErTm2 crystal.

abc: 4.9438 4.9438 4.9284
angles: 90.00 90.00 90.00
Atoms (fractional coordinates):
1 Ce 0.0000 0.0000 0.0000
2 Er 0.5000 0.5000 0.0000
3 Tm 0.0000 0.5000 0.5000
4 Tm 0.5000 0.0000 0.5000

Properties
- energy relative to the lowest polymorph listed for this composition (eV per atom) = 0.041
- formation energy (eV/atom) = 0.065
- total magnetic moment (μB per formula unit) = 0.44
- calculated total energy (eV per atom) = -4.795